The following is a DFT calculation (PBE) of a relaxed structure of NaHg3Pb2.

Cell lengths 3.568, 6.598, 14.847 Å; angles 90.00, 96.90, 90.00 degrees
Element x y z (fractional)
Hg (0.580, 0.028, 0.161)
Hg (0.580, 0.472, 0.161)
Hg (0.420, 0.528, 0.839)
Hg (0.420, 0.972, 0.839)
Hg (0.740, 0.750, 0.480)
Hg (0.260, 0.250, 0.520)
Pb (0.006, 0.750, 0.012)
Pb (0.145, 0.750, 0.290)
Pb (0.994, 0.250, 0.988)
Pb (0.855, 0.250, 0.710)
Na (0.325, 0.750, 0.651)
Na (0.675, 0.250, 0.349)

Values from the calculation:
Size of the total moment = 0.00 μB/cell
Energy above the most stable polymorph in this dataset = 46 meV/atom

The following is a DFT calculation (PBE) of a relaxed structure of Na6HgPb.

Cell lengths 4.974, 4.974, 9.567 Å; angles 90.00, 90.00, 90.00 degrees
Element x y z (fractional)
Na (0.500, 0.000, 0.247)
Na (0.000, 0.500, 0.753)
Na (0.000, 0.500, 0.247)
Na (0.500, 0.000, 0.753)
Na (0.500, 0.500, 0.500)
Na (0.500, 0.500, 0.000)
Pb (0.000, 0.000, 0.500)
Hg (0.000, 0.000, 0.000)

Values from the calculation:
Size of the total moment = 0.00 μB/cell
Energy above the most stable polymorph in this dataset = 12 meV/atom

The following is a DFT calculation (PBE) of a relaxed structure of Na3Hg9Pb2.

Cell lengths 5.069, 9.387, 10.123 Å; angles 117.62, 107.32, 90.00 degrees
Element x y z (fractional)
Hg (0.360, 0.995, 0.681)
Hg (0.857, 0.510, 0.683)
Hg (0.143, 0.490, 0.317)
Hg (0.640, 0.005, 0.319)
Hg (0.857, 0.172, 0.683)
Hg (0.360, 0.686, 0.681)
Hg (0.000, 0.500, 0.000)
Hg (0.143, 0.828, 0.317)
Hg (0.640, 0.314, 0.319)
Na (0.000, 0.000, 0.000)
Na (0.261, 0.260, 0.519)
Na (0.739, 0.740, 0.481)
Pb (0.500, 0.688, 0.000)
Pb (0.500, 0.312, 0.000)

Values from the calculation:
Size of the total moment = 0.00 μB/cell
VASP energy = -1.115 eV per atom

The following is a DFT calculation (PBE) of a relaxed structure of Na2HgPb2.

Cell lengths 7.850, 7.850, 5.018 Å; angles 90.00, 90.00, 90.00 degrees
Element x y z (fractional)
Na (0.163, 0.663, 0.500)
Na (0.663, 0.837, 0.500)
Na (0.337, 0.163, 0.500)
Na (0.837, 0.337, 0.500)
Hg (0.000, 0.000, 0.000)
Hg (0.500, 0.500, 0.000)
Pb (0.858, 0.642, 0.000)
Pb (0.142, 0.358, 0.000)
Pb (0.642, 0.142, 0.000)
Pb (0.358, 0.858, 0.000)

Values from the calculation:
Size of the total moment = 0.00 μB/cell
Energy above the most stable polymorph in this dataset = 61 meV/atom

The following is a DFT calculation (PBE) of a relaxed structure of NaHg2Pb.

Cell lengths 7.106, 7.106, 7.106 Å; angles 56.56, 153.38, 131.07 degrees
Element x y z (fractional)
Hg (0.000, 0.250, 0.250)
Hg (0.000, 0.750, 0.750)
Na (0.000, 0.000, 0.000)
Pb (0.000, 0.500, 0.500)

Values from the calculation:
Size of the total moment = 0.00 μB/cell
VASP energy = -1.423 eV per atom

The following is a DFT calculation (PBE) of a relaxed structure of Na4HgPb2.

Cell lengths 5.355, 5.355, 9.040 Å; angles 72.77, 72.77, 60.00 degrees
Element x y z (fractional)
Pb (0.259, 0.259, 0.224)
Pb (0.741, 0.741, 0.776)
Hg (0.000, 0.000, 0.000)
Na (0.871, 0.871, 0.386)
Na (0.616, 0.616, 0.153)
Na (0.129, 0.129, 0.614)
Na (0.384, 0.384, 0.847)

Values from the calculation:
Size of the total moment = 0.00 μB/cell
Energy above the most stable polymorph in this dataset = 95 meV/atom

The following is a DFT calculation (PBE) of a relaxed structure of NaHg4Pb2.

Cell lengths 7.826, 7.826, 6.473 Å; angles 127.08, 127.08, 90.15 degrees
Element x y z (fractional)
Hg (0.303, 0.697, 0.000)
Hg (0.296, 0.296, 0.000)
Hg (0.704, 0.704, 0.000)
Hg (0.697, 0.303, 0.000)
Pb (0.250, 0.750, 0.500)
Pb (0.750, 0.250, 0.500)
Na (0.000, 0.000, 0.000)

Values from the calculation:
Size of the total moment = 0.00 μB/cell
VASP energy = -1.454 eV per atom

The following is a DFT calculation (PBE) of a relaxed structure of NaHgPb.

Cell lengths 3.326, 5.371, 5.371 Å; angles 120.00, 90.00, 90.00 degrees
Element x y z (fractional)
Na (0.667, 0.667, 0.333)
Hg (0.166, 0.000, 0.000)
Pb (0.167, 0.333, 0.667)

Values from the calculation:
Size of the total moment = 0.00 μB/cell
Energy above the most stable polymorph in this dataset = 0 meV/atom

The following is a DFT calculation (PBE) of a relaxed structure of Na2HgPb2.

Cell lengths 5.116, 5.868, 11.475 Å; angles 94.23, 77.12, 64.16 degrees
Element x y z (fractional)
Pb (0.847, 0.316, 0.990)
Pb (0.180, 0.185, 0.454)
Pb (0.153, 0.684, 0.010)
Pb (0.820, 0.815, 0.546)
Na (0.567, 0.542, 0.325)
Na (0.433, 0.458, 0.675)
Na (0.631, 0.889, 0.849)
Na (0.369, 0.111, 0.151)
Hg (0.096, 0.090, 0.718)
Hg (0.904, 0.910, 0.282)

Values from the calculation:
Size of the total moment = 0.00 μB/cell
Energy above the most stable polymorph in this dataset = 0 meV/atom

The following is a DFT calculation (PBE) of a relaxed structure of Na3HgPb2.

Cell lengths 6.779, 6.048, 8.919 Å; angles 90.47, 112.34, 90.00 degrees
Element x y z (fractional)
Na (0.284, 0.570, 0.326)
Na (0.629, 0.250, 0.000)
Na (0.716, 0.430, 0.674)
Na (0.958, 0.930, 0.674)
Na (0.371, 0.750, 0.000)
Na (0.042, 0.070, 0.326)
Hg (0.121, 0.250, 0.000)
Hg (0.879, 0.750, 0.000)
Pb (0.789, 0.566, 0.336)
Pb (0.211, 0.434, 0.664)
Pb (0.453, 0.934, 0.664)
Pb (0.547, 0.066, 0.336)

Values from the calculation:
Size of the total moment = 0.00 μB/cell
VASP energy = -2.109 eV per atom

The following is a DFT calculation (PBE) of a relaxed structure of NaHg4Pb3.

Cell lengths 3.792, 3.792, 15.157 Å; angles 90.00, 90.00, 90.00 degrees
Element x y z (fractional)
Pb (0.500, 0.500, 0.242)
Pb (0.500, 0.500, 0.758)
Pb (0.500, 0.500, 0.500)
Hg (0.000, 0.000, 0.113)
Hg (0.000, 0.000, 0.887)
Hg (0.000, 0.000, 0.628)
Hg (0.000, 0.000, 0.372)
Na (0.500, 0.500, 0.000)

Values from the calculation:
Size of the total moment = 0.00 μB/cell
VASP energy = -1.769 eV per atom

The following is a DFT calculation (PBE) of a relaxed structure of Na3Hg2Pb5.

Cell lengths 10.143, 9.653, 9.643 Å; angles 120.04, 121.73, 90.00 degrees
Element x y z (fractional)
Pb (0.365, 0.211, 0.731)
Pb (0.865, 0.519, 0.731)
Pb (0.997, 0.747, 0.495)
Pb (0.003, 0.253, 0.505)
Pb (0.750, 0.500, 0.000)
Pb (0.503, 0.253, 0.505)
Pb (0.135, 0.481, 0.269)
Pb (0.497, 0.747, 0.495)
Pb (0.635, 0.789, 0.269)
Pb (0.250, 0.500, 0.000)
Na (0.750, 0.000, 0.000)
Na (0.250, 0.000, 0.000)
Na (0.126, 0.834, 0.252)
Na (0.626, 0.418, 0.252)
Na (0.874, 0.166, 0.748)
Na (0.374, 0.582, 0.748)
Hg (0.877, 0.846, 0.755)
Hg (0.623, 0.091, 0.245)
Hg (0.123, 0.154, 0.245)
Hg (0.377, 0.909, 0.755)

Values from the calculation:
Size of the total moment = 0.00 μB/cell
Energy above the most stable polymorph in this dataset = 22 meV/atom

The following is a DFT calculation (PBE) of a relaxed structure of Na4Hg3Pb2.

Cell lengths 4.831, 5.945, 9.949 Å; angles 68.58, 89.99, 66.01 degrees
Element x y z (fractional)
Na (0.972, 0.056, 0.654)
Na (0.343, 0.314, 0.114)
Na (0.657, 0.686, 0.886)
Na (0.028, 0.944, 0.346)
Hg (0.000, 0.000, 0.000)
Hg (0.346, 0.307, 0.437)
Hg (0.654, 0.693, 0.563)
Pb (0.685, 0.630, 0.235)
Pb (0.315, 0.370, 0.765)

Values from the calculation:
Size of the total moment = 0.00 μB/cell
VASP energy = -1.693 eV per atom

The following is a DFT calculation (PBE) of a relaxed structure of Na2HgPb4.

Cell lengths 10.659, 6.574, 7.235 Å; angles 117.02, 90.00, 90.00 degrees
Element x y z (fractional)
Pb (0.250, 0.250, 0.000)
Pb (0.250, 0.501, 0.500)
Pb (0.250, 0.750, 0.000)
Pb (0.750, 0.250, 0.000)
Pb (0.750, 0.999, 0.500)
Pb (0.750, 0.499, 0.500)
Pb (0.750, 0.750, 0.000)
Pb (0.250, 0.001, 0.500)
Na (0.500, 0.860, 0.719)
Na (0.500, 0.140, 0.281)
Na (0.000, 0.640, 0.281)
Na (0.000, 0.360, 0.719)
Hg (0.500, 0.500, 0.000)
Hg (0.000, 0.000, 0.000)

Values from the calculation:
Size of the total moment = 0.00 μB/cell
VASP energy = -2.551 eV per atom

The following is a DFT calculation (PBE) of a relaxed structure of NaHg2Pb10.

Cell lengths 6.433, 8.938, 8.449 Å; angles 82.12, 67.62, 68.91 degrees
Element x y z (fractional)
Hg (0.000, 0.500, 0.000)
Hg (0.500, 0.500, 0.000)
Pb (0.000, 0.000, 0.500)
Pb (0.720, 0.775, 0.786)
Pb (0.505, 0.775, 0.214)
Pb (0.495, 0.225, 0.786)
Pb (0.500, 0.000, 0.500)
Pb (0.998, 0.648, 0.356)
Pb (0.002, 0.352, 0.644)
Pb (0.354, 0.648, 0.644)
Pb (0.646, 0.352, 0.356)
Pb (0.280, 0.225, 0.214)
Na (0.000, 0.000, 0.000)

Values from the calculation:
Size of the total moment = 0.00 μB/cell
VASP energy = -2.981 eV per atom

The following is a DFT calculation (PBE) of a relaxed structure of Na2HgPb.

Cell lengths 8.636, 8.636, 6.885 Å; angles 51.16, 51.16, 90.00 degrees
Element x y z (fractional)
Hg (0.250, 0.750, 0.500)
Hg (0.500, 0.500, 0.000)
Na (0.142, 0.625, 0.250)
Na (0.608, 0.125, 0.250)
Na (0.375, 0.392, 0.750)
Na (0.875, 0.858, 0.750)
Pb (0.000, 0.000, 0.000)
Pb (0.750, 0.250, 0.500)

Values from the calculation:
Size of the total moment = 0.00 μB/cell
VASP energy = -1.720 eV per atom

The following is a DFT calculation (PBE) of a relaxed structure of NaHg2Pb.

Cell lengths 3.920, 3.920, 6.907 Å; angles 90.00, 90.00, 90.00 degrees
Element x y z (fractional)
Hg (0.000, 0.000, 0.762)
Hg (0.000, 0.000, 0.238)
Pb (0.500, 0.500, 0.500)
Na (0.500, 0.500, 0.000)

Values from the calculation:
Size of the total moment = 0.00 μB/cell
VASP energy = -1.546 eV per atom

The following is a DFT calculation (PBE) of a relaxed structure of Na3Hg3Pb.

Cell lengths 8.052, 8.052, 8.052 Å; angles 90.00, 90.00, 90.00 degrees
Element x y z (fractional)
Hg (0.750, 0.000, 0.500)
Hg (0.000, 0.500, 0.250)
Hg (0.500, 0.750, 0.000)
Hg (0.500, 0.250, 0.000)
Hg (0.250, 0.000, 0.500)
Hg (0.000, 0.500, 0.750)
Na (0.500, 0.000, 0.750)
Na (0.750, 0.500, 0.000)
Na (0.500, 0.000, 0.250)
Na (0.000, 0.250, 0.500)
Na (0.250, 0.500, 0.000)
Na (0.000, 0.750, 0.500)
Pb (0.500, 0.500, 0.500)
Pb (0.000, 0.000, 0.000)

Values from the calculation:
Size of the total moment = 0.00 μB/cell
Energy above the most stable polymorph in this dataset = 383 meV/atom

The following is a DFT calculation (PBE) of a relaxed structure of Na7Hg2Pb2.

Cell lengths 6.966, 8.082, 6.966 Å; angles 90.00, 113.31, 90.00 degrees
Element x y z (fractional)
Hg (0.728, 0.000, 0.272)
Hg (0.272, 0.000, 0.728)
Na (0.500, 0.696, 0.000)
Na (0.000, 0.696, 0.500)
Na (0.000, 0.304, 0.500)
Na (0.500, 0.304, 0.000)
Na (0.500, 0.776, 0.500)
Na (0.500, 0.224, 0.500)
Na (0.000, 0.000, 0.000)
Pb (0.803, 0.500, 0.803)
Pb (0.197, 0.500, 0.197)

Values from the calculation:
Size of the total moment = 0.00 μB/cell
Energy above the most stable polymorph in this dataset = 68 meV/atom

The following is a DFT calculation (PBE) of a relaxed structure of NaHg2Pb5.

Cell lengths 6.700, 6.701, 6.700 Å; angles 110.37, 110.36, 107.70 degrees
Element x y z (fractional)
Pb (0.278, 0.777, 0.000)
Pb (0.277, 0.277, 0.000)
Pb (0.778, 0.278, 0.000)
Pb (0.278, 0.278, 0.501)
Pb (0.777, 0.778, 0.499)
Hg (0.278, 0.778, 0.500)
Hg (0.778, 0.278, 0.500)
Na (0.779, 0.778, 0.000)

Values from the calculation:
Size of the total moment = 0.00 μB/cell
Energy above the most stable polymorph in this dataset = 37 meV/atom